# KGaHg2Cl4 (PBE, relaxed)
# * M_tot: 0.00 μB per formula unit
# * electronic total energy: -2.5661 eV/atom
# * V: 324 Å³/f.u.
# * E_form (uncorrected): -1.052 eV per atom
data_KGaHg2Cl4
_space_group_name_H-M_alt 'F d d d'
_space_group_IT_number 70
_cell_length_a 7.871
_cell_length_b 11.928
_cell_length_c 27.594
_cell_angle_alpha 90.00
_cell_angle_beta 90.00
_cell_angle_gamma 90.00
loop_
_space_group_symop_operation_xyz
'x,y,z'
'-x,-y,-z'
'-x+1/4,-y+1/4,z'
'x+1/4,y+1/4,-z'
'x,-y+1/4,-z+1/4'
'-x,y+1/4,z+1/4'
'-x+1/4,y,-z+1/4'
'x+1/4,-y,z+1/4'
'x,y+1/2,z+1/2'
'-x,-y+1/2,-z+1/2'
'-x+1/4,-y+3/4,z+1/2'
'x+1/4,y+3/4,-z+1/2'
'x,-y+3/4,-z+3/4'
'-x,y+3/4,z+3/4'
'-x+1/4,y+1/2,-z+3/4'
'x+1/4,-y+1/2,z+3/4'
'x+1/2,y,z+1/2'
'-x+1/2,-y,-z+1/2'
'-x+3/4,-y+1/4,z+1/2'
'x+3/4,y+1/4,-z+1/2'
'x+1/2,-y+1/4,-z+3/4'
'-x+1/2,y+1/4,z+3/4'
'-x+3/4,y,-z+3/4'
'x+3/4,-y,z+3/4'
'x+1/2,y+1/2,z'
'-x+1/2,-y+1/2,-z'
'-x+3/4,-y+3/4,z'
'x+3/4,y+3/4,-z'
'x+1/2,-y+3/4,-z+1/4'
'-x+1/2,y+3/4,z+1/4'
'-x+3/4,y+1/2,-z+1/4'
'x+3/4,-y+1/2,z+1/4'
loop_
_atom_site_label
_atom_site_type_symbol
_atom_site_fract_x
_atom_site_fract_y
_atom_site_fract_z
K1 K 0.125 0.125 0.125
Ga1 Ga 0.125 0.125 0.625
Hg1 Hg 0.125 0.125 0.272
Cl1 Cl 0.042 0.270 0.830

# YZrTlCo2 (PBE, relaxed)
# * M_tot: 3.98 μB per formula unit
# * electronic total energy: -5.1913 eV/atom
# * V: 125 Å³/f.u.
# * formation energy: 1.127 eV per atom
data_YZrTlCo2
_space_group_name_H-M_alt 'P 4/m m m'
_space_group_IT_number 123
_space_group_name_Hall '-P 4 2'
_cell_length_a 4.834
_cell_length_b 4.834
_cell_length_c 5.337
_cell_angle_alpha 90.00
_cell_angle_beta 90.00
_cell_angle_gamma 90.00
loop_
_atom_site_label
_atom_site_type_symbol
_atom_site_fract_x
_atom_site_fract_y
_atom_site_fract_z
Y1 Y 0.000 0.000 0.000
Zr1 Zr 0.500 0.500 0.000
Tl1 Tl 0.500 0.500 0.500
Co1 Co 0.000 0.500 0.500

# Pm2MgCd2Pd5 (PBE, relaxed)
# * M_tot: 0.00 μB per formula unit
# * electronic total energy: -4.3931 eV/atom
# * V: 204 Å³/f.u.
# * formation energy: -0.504 eV per atom
data_Pm2MgCd2Pd5
_space_group_name_H-M_alt 'P 4/m b m'
_space_group_IT_number 127
_space_group_name_Hall '-P 4 2ab'
_cell_length_a 10.497
_cell_length_b 10.497
_cell_length_c 3.698
_cell_angle_alpha 90.00
_cell_angle_beta 90.00
_cell_angle_gamma 90.00
loop_
_atom_site_label
_atom_site_type_symbol
_atom_site_fract_x
_atom_site_fract_y
_atom_site_fract_z
Pm1 Pm 0.167 0.333 0.000
Mg1 Mg 0.000 0.000 0.000
Cd1 Cd 0.133 0.633 0.000
Pd1 Pd 0.000 0.500 0.500
Pd2 Pd 0.033 0.802 0.500

# BaSm2Pd (PBE, relaxed)
# * M_tot: 0.00 μB per formula unit
# * electronic total energy: -4.2870 eV/atom
# * V: 163 Å³/f.u.
# * energy relative to the lowest polymorph listed for this composition: 0.124 eV per atom
# * formation energy: -0.149 eV per atom
data_BaSm2Pd
_space_group_name_H-M_alt 'R -3 m'
_space_group_IT_number 166
_space_group_name_Hall '-R 3 2"'
_cell_length_a 4.1470
_cell_length_b 4.1470
_cell_length_c 32.8198
_cell_angle_alpha 90.00
_cell_angle_beta 90.00
_cell_angle_gamma 120.00
loop_
_atom_site_label
_atom_site_type_symbol
_atom_site_fract_x
_atom_site_fract_y
_atom_site_fract_z
Ba1 Ba 0.0000 0.0000 0.0000
Sm1 Sm 0.0000 0.0000 0.1195
Pd1 Pd 0.0000 0.0000 0.5000

Among the records above, which one has the highest electronic total energy?
KGaHg2Cl4

The highest electronic total energy belongs to which entry?
KGaHg2Cl4

What is the formula in the second record?
YZrTlCo2

electronic total energy of number 3 (Pm2MgCd2Pd5)?
-4.3931 eV/atom